Below is TaVNO2 after structural relaxation, with properties calculated at the GGA+U level.

a = 3.731 Å, b = 3.731 Å, c = 3.914 Å
α = 90.00°, β = 90.00°, γ = 90.00°
Space group P4/mmm (No. 123)
Unique sites:
Ta 0.000 0.000 0.000 (multiplicity 1)
V 0.500 0.500 0.500 (multiplicity 1)
N 0.500 0.500 0.000 (multiplicity 1)
O 0.000 0.500 0.500 (multiplicity 2)

- Raw total energy: -39.91 eV per cell